[1]
DFT (GGA-PBE) results for an optimized crystal structure of CsNiCl.

Calculated values
Polymorph energy (0 for the lowest one), meV/atom: 314.7
SG: No. 63
Formation energy from raw total energies, eV/atom: -0.2839

Cell: 4.0853 4.0853 10.6831 Å, 90.00 90.00 121.25°
Element x y z (fractional)
Cs 0.0000 0.0000 0.0000
Cs 0.0000 0.0000 0.5000
Ni 0.3468 0.6532 0.7500
Ni 0.6532 0.3468 0.2500
Cl 0.3393 0.6607 0.2500
Cl 0.6607 0.3393 0.7500

***

[2]
DFT (GGA-PBE) results for an optimized crystal structure of CaNiW2.

Calculated values
Polymorph energy (0 for the lowest one), meV/atom: 399.5
Formation energy from the elements, meV/atom: 836
SG: No. 47

Cell: 2.6631 4.8981 5.2921 Å, 90.00 90.00 90.00°
Element x y z (fractional)
Ca 0.0000 0.0000 0.0000
Ni 0.0000 0.0000 0.5000
W 0.5000 0.5000 0.2539
W 0.5000 0.5000 0.7461

***

[3]
DFT (GGA-PBE) results for an optimized crystal structure of Ba3Sr8Ca.

Calculated values
Polymorph energy (0 for the lowest one), meV/atom: 0.0
Formation energy from the elements, meV/atom: 16
SG: No. 162

Cell: 7.4149 7.4149 14.0375 Å, 90.00 90.00 120.00°
Element x y z (fractional)
Ba 0.0000 0.0000 0.0000
Ba 0.3333 0.6667 0.0000
Ba 0.6667 0.3333 0.0000
Sr 0.0000 0.3306 0.2574
Sr 0.0000 0.6694 0.7426
Sr 0.3306 0.0000 0.2574
Sr 0.3306 0.3306 0.7426
Sr 0.3333 0.6667 0.5000
Sr 0.6667 0.3333 0.5000
Sr 0.6694 0.0000 0.7426
Sr 0.6694 0.6694 0.2574
Ca 0.0000 0.0000 0.5000

***

[4]
DFT (GGA-PBE) results for an optimized crystal structure of RbSi2H18C6N.

Calculated values
SG: No. 14

Cell: 10.7709 9.2328 13.3540 Å, 90.00 98.44 90.00°
Element x y z (fractional)
Rb 0.0750 0.0477 0.3738
Rb 0.0750 0.4523 0.8738
Rb 0.9250 0.5477 0.1262
Rb 0.9250 0.9523 0.6262
Si 0.2050 0.7488 0.5554
Si 0.2050 0.7512 0.0554
Si 0.2769 0.0562 0.6310
Si 0.2769 0.4438 0.1310
Si 0.7231 0.5562 0.8690
Si 0.7231 0.9438 0.3690
Si 0.7950 0.2488 0.9446
Si 0.7950 0.2512 0.4446
H 0.0074 0.2054 0.0532
H 0.0074 0.2946 0.5532
H 0.0744 0.6484 0.6823
H 0.0744 0.8516 0.1823
H 0.0945 0.5556 0.4430
H 0.0945 0.9444 0.9430
H 0.1158 0.7120 0.3712
H 0.1158 0.7880 0.8712
H 0.1179 0.1960 0.7143
H 0.1179 0.3040 0.2143
H 0.1894 0.5198 0.6573
H 0.1894 0.9802 0.1573
H 0.1928 0.0615 0.7990
H 0.1928 0.4385 0.2990
H 0.2113 0.2268 0.0178
H 0.2113 0.2732 0.5178
H 0.2348 0.6713 0.7377
H 0.2348 0.8287 0.2377
H 0.2730 0.2245 0.7784
H 0.2730 0.2755 0.2784
H 0.3434 0.1837 0.4795
H 0.3434 0.3163 0.9795
H 0.3624 0.2017 0.0865
H 0.3624 0.2983 0.5865
H 0.3653 0.5727 0.5097
H 0.3653 0.9273 0.0097
H 0.3931 0.7491 0.4646
H 0.3931 0.7509 0.9646
H 0.4385 0.7060 0.5941
H 0.4385 0.7940 0.0941
H 0.4400 0.5920 0.2417
H 0.4400 0.9080 0.7417
H 0.4932 0.0878 0.7279
H 0.4932 0.4122 0.2279
H 0.4952 0.5391 0.1280
H 0.4952 0.9609 0.6280
H 0.5048 0.0391 0.3720
H 0.5048 0.4609 0.8720
H 0.5068 0.5878 0.7721
H 0.5068 0.9122 0.2721
H 0.5600 0.0920 0.2583
H 0.5600 0.4080 0.7583
H 0.5615 0.2060 0.9059
H 0.5615 0.2940 0.4059
H 0.6069 0.2491 0.0354
H 0.6069 0.2509 0.5354
H 0.6347 0.0727 0.9903
H 0.6347 0.4273 0.4903
H 0.6376 0.7017 0.4135
H 0.6376 0.7983 0.9135
H 0.6566 0.6837 0.0205
H 0.6566 0.8163 0.5205
H 0.7270 0.7245 0.7216
H 0.7270 0.7755 0.2216
H 0.7652 0.1713 0.7623
H 0.7652 0.3287 0.2623
H 0.7887 0.7268 0.4822
H 0.7887 0.7732 0.9822
H 0.8072 0.5615 0.7010
H 0.8072 0.9385 0.2010
H 0.8106 0.0198 0.8427
H 0.8106 0.4802 0.3427
H 0.8821 0.6960 0.7857
H 0.8821 0.8040 0.2857
H 0.8842 0.2120 0.1288
H 0.8842 0.2880 0.6288
H 0.9055 0.0556 0.0570
H 0.9055 0.4444 0.5570
H 0.9256 0.1484 0.8177
H 0.9256 0.3516 0.3177
H 0.9926 0.7054 0.4468
H 0.9926 0.7946 0.9468
C 0.0909 0.6748 0.4442
C 0.0909 0.8252 0.9442
C 0.1726 0.6358 0.6692
C 0.1726 0.8642 0.1692
C 0.2080 0.1420 0.7412
C 0.2080 0.3580 0.2412
C 0.2998 0.2166 0.5456
C 0.2998 0.2834 0.0456
C 0.3652 0.6888 0.5288
C 0.3652 0.8112 0.0288
C 0.4415 0.5026 0.1873
C 0.4415 0.9974 0.6873
C 0.5585 0.0026 0.3127
C 0.5585 0.4974 0.8127
C 0.6348 0.1888 0.9712
C 0.6348 0.3112 0.4712
C 0.7002 0.7166 0.9544
C 0.7002 0.7834 0.4544
C 0.7920 0.6420 0.7588
C 0.7920 0.8580 0.2588
C 0.8274 0.1358 0.8308
C 0.8274 0.3642 0.3308
C 0.9091 0.1748 0.0558
C 0.9091 0.3252 0.5558
N 0.1815 0.5717 0.0697
N 0.1815 0.9283 0.5697
N 0.8185 0.0717 0.4303
N 0.8185 0.4283 0.9303

***

[5]
DFT (GGA-PBE) results for an optimized crystal structure of SiAg3Mo.

Calculated values
Polymorph energy (0 for the lowest one), meV/atom: 823.5
SG: No. 221
Formation energy from raw total energies, eV/atom: 1.8330

Cell: 5.1308 5.1308 5.1308 Å, 90.00 90.00 90.00°
Element x y z (fractional)
Si 0.0000 0.0000 0.0000
Ag 0.0000 0.5000 0.5000
Ag 0.5000 0.0000 0.5000
Ag 0.5000 0.5000 0.0000
Mo 0.5000 0.5000 0.5000

***

[6]
DFT (GGA-PBE) results for an optimized crystal structure of Rb3NpTi2Te6.

Calculated values
SG: No. 12
Formation energy from raw total energies, eV/atom: -0.8263

Cell: 7.4623 7.4623 8.8868 Å, 98.08 98.08 120.19°
Element x y z (fractional)
Rb 0.0000 0.0000 0.0000
Rb 0.3401 0.6599 0.0000
Rb 0.6599 0.3401 0.0000
Np 0.5000 0.5000 0.5000
Ti 0.1700 0.8300 0.5000
Ti 0.8300 0.1700 0.5000
Te 0.0825 0.4359 0.3095
Te 0.2067 0.2067 0.6852
Te 0.4359 0.0825 0.3095
Te 0.5641 0.9175 0.6905
Te 0.7933 0.7933 0.3148
Te 0.9175 0.5641 0.6905

***

We obtain final energy values of -3.111, -7.586, -1.753, -5.148, -3.129, -5.033 eV per atom for the records listed above, in that order.